DFT (GGA-PBE) results for a geometry-optimized RuRh4Br structure.

Cell: 7.325 7.325 7.325 Å, 90.00 90.00 90.00°
Space group F-43m (No. 216)
Inequivalent atoms, fractional coordinates:
Ru 0.000 0.000 0.000 [4 per cell]
Rh 0.125 0.125 0.375 [16 per cell]
Br 0.250 0.250 0.750 [4 per cell]

Output
Formation energy without anion corrections (eV per atom): 0.86
Volume (Å³ per atom): 16.38
Total moment (μB per cell): 12.229